The following is a PBE calculation of crystalline LaPmS2 at its relaxed geometry, from the Open Quantum Materials Database.

Results
Polymorph energy (0 for the lowest one) = 11 meV per atom

Unit cell a=4.093 b=4.093 c=5.783 alpha=90.00 beta=90.00 gamma=90.00
Fractional coordinates of all 4 atoms:
La: 0.000 0.000 0.000
Pm: 0.500 0.500 0.500
S: 0.500 0.500 0.000
S: 0.000 0.000 0.500

The following is a PBE calculation of crystalline Hf2ReNi at its relaxed geometry, from the Open Quantum Materials Database.

Results
Formation enthalpy at 0 K = -1.7 eV/f.u.
Polymorph energy (0 for the lowest one) = 7 meV per atom

Unit cell a=4.569 b=6.466 c=13.705 alpha=90.00 beta=90.00 gamma=90.00
Fractional coordinates of all 24 atoms:
Hf: 0.500 0.250 0.000
Hf: 0.500 0.750 0.000
Hf: 0.000 0.250 0.167
Hf: 0.000 0.750 0.167
Hf: 0.500 0.250 0.333
Hf: 0.500 0.750 0.333
Hf: 0.000 0.250 0.500
Hf: 0.000 0.750 0.500
Hf: 0.500 0.250 0.667
Hf: 0.500 0.750 0.667
Hf: 0.000 0.250 0.833
Hf: 0.000 0.750 0.833
Ni: 0.000 0.000 0.000
Ni: 0.499 0.500 0.167
Ni: 0.999 0.000 0.333
Ni: 0.500 0.500 0.500
Ni: 0.001 0.000 0.667
Ni: 0.501 0.500 0.833
Re: 0.000 0.500 0.000
Re: 0.499 0.000 0.167
Re: 0.999 0.500 0.333
Re: 0.500 0.000 0.500
Re: 0.001 0.500 0.667
Re: 0.501 0.000 0.833

What did the second record say?
The following is a PBE calculation of crystalline Hf2ReNi at its relaxed geometry, from the Open Quantum Materials Database.

Results
Formation enthalpy at 0 K = -1.7 eV/f.u.
Polymorph energy (0 for the lowest one) = 7 meV per atom

Unit cell a=4.569 b=6.466 c=13.705 alpha=90.00 beta=90.00 gamma=90.00
Fractional coordinates of all 24 atoms:
Hf: 0.500 0.250 0.000
Hf: 0.500 0.750 0.000
Hf: 0.000 0.250 0.167
Hf: 0.000 0.750 0.167
Hf: 0.500 0.250 0.333
Hf: 0.500 0.750 0.333
Hf: 0.000 0.250 0.500
Hf: 0.000 0.750 0.500
Hf: 0.500 0.250 0.667
Hf: 0.500 0.750 0.667
Hf: 0.000 0.250 0.833
Hf: 0.000 0.750 0.833
Ni: 0.000 0.000 0.000
Ni: 0.499 0.500 0.167
Ni: 0.999 0.000 0.333
Ni: 0.500 0.500 0.500
Ni: 0.001 0.000 0.667
Ni: 0.501 0.500 0.833
Re: 0.000 0.500 0.000
Re: 0.499 0.000 0.167
Re: 0.999 0.500 0.333
Re: 0.500 0.000 0.500
Re: 0.001 0.500 0.667
Re: 0.501 0.000 0.833